# 1
Below is a relaxed Ho5ThTl3 crystal, with properties calculated at the GGA-PBE level.

Structure (POSCAR):
```
Ho5ThTl3
1.0
9.394 0.000 0.000
-4.697 8.135 0.000
0.000 0.000 6.672
Ho Th Tl
10 2 6
direct
0.000 0.324 0.250
0.000 0.676 0.750
0.324 0.000 0.250
0.324 0.324 0.750
0.333 0.667 0.000
0.333 0.667 0.500
0.667 0.333 0.000
0.667 0.333 0.500
0.676 0.000 0.750
0.676 0.676 0.250
0.000 0.000 0.000
0.000 0.000 0.500
0.000 0.346 0.750
0.000 0.654 0.250
0.346 0.000 0.750
0.346 0.346 0.250
0.654 0.000 0.250
0.654 0.654 0.750
```

## Properties
Size of the total moment, μB/cell: 0.00
Calculated density, Mg/m³: 10.9
Fermi-level density of states, states/eV/cell: 21.25
DFT formation energy, eV/f.u.: -2.09
Calculated total energy, eV/atom: -4.3886

# 2
Below is a relaxed Rb3PaO4 crystal, with properties calculated at the GGA-PBE level.

Structure (POSCAR):
```
Rb3PaO4
1.0
9.249 0.000 0.000
0.000 7.947 0.000
0.000 0.000 5.670
Rb Pa O
6 2 8
direct
0.000 0.174 0.000
0.236 0.331 0.500
0.264 0.669 0.000
0.500 0.826 0.500
0.736 0.669 0.000
0.764 0.331 0.500
0.000 0.830 0.470
0.500 0.170 0.970
0.000 0.089 0.507
0.000 0.830 0.103
0.191 0.695 0.507
0.309 0.305 0.007
0.500 0.170 0.603
0.500 0.911 0.007
0.691 0.305 0.007
0.809 0.695 0.507
```

## Properties
Formation energy from raw total energies, meV/atom: -2282
Size of the total moment, μB/cell: 0.00
Calculated density, Mg/m³: 4.4
Fermi-level density of states, states/eV/cell: 0.00
Calculated total energy, eV/atom: -6.3104
Distance to the lowest polymorph of the same formula, meV per atom: 102

# 3
Below is a relaxed AlCdRu2 crystal, with properties calculated at the GGA-PBE level.

Structure (POSCAR):
```
AlCdRu2
1.0
2.841 0.000 0.000
0.000 2.841 0.000
0.000 0.000 7.957
Al Cd Ru
1 1 2
direct
0.000 0.000 0.000
0.500 0.500 0.307
0.000 0.000 0.577
0.500 0.500 0.787
```

## Properties
Size of the total moment, μB/cell: 0.00
Calculated density, Mg/m³: 8.8
Fermi-level density of states, states/eV/cell: 2.02
DFT formation energy, eV/f.u.: -0.14
Calculated total energy, eV/atom: -5.8378
Distance to the lowest polymorph of the same formula, meV per atom: 40

# 4
Below is a relaxed Sr2TlB2S6 crystal, with properties calculated at the GGA-PBE level.

Structure (POSCAR):
```
Sr2TlB2S6
1.0
6.384 0.000 0.000
-1.422 6.255 0.000
-2.827 -2.401 6.893
Sr Tl B S
2 1 2 6
direct
0.096 0.250 0.296
0.904 0.750 0.704
0.500 0.500 0.000
0.498 0.001 0.252
0.502 0.999 0.748
0.191 0.818 0.132
0.260 0.114 0.679
0.404 0.688 0.682
0.596 0.312 0.318
0.740 0.886 0.321
0.809 0.182 0.868
```

## Properties
Formation energy from raw total energies, meV/atom: -967
Size of the total moment, μB/cell: 0.00
Calculated density, Mg/m³: 3.6
Fermi-level density of states, states/eV/cell: 2.75
Calculated total energy, eV/atom: -4.9538

# 5
Below is a relaxed NaDy2Ag crystal, with properties calculated at the GGA-PBE level.

Structure (POSCAR):
```
NaDy2Ag
1.0
1.711 0.988 11.756
-1.711 0.988 11.756
0.000 -1.975 11.756
Na Dy Ag
1 2 1
direct
0.000 0.000 0.000
0.099 0.099 0.099
0.901 0.901 0.901
0.500 0.500 0.500
```

## Properties
Size of the total moment, μB/cell: 0.00
Calculated density, Mg/m³: 6.4
Fermi-level density of states, states/eV/cell: 3.73
DFT formation energy, eV/f.u.: 0.65
Calculated total energy, eV/atom: -3.1815
Distance to the lowest polymorph of the same formula, meV per atom: 132

# 6
Below is a relaxed Sm5Te2H crystal, with properties calculated at the GGA-PBE level.

Structure (POSCAR):
```
Sm5Te2H
1.0
3.037 -6.123 0.000
3.037 6.123 0.000
0.000 0.000 12.864
Sm Te H
10 4 2
direct
0.065 0.935 0.622
0.065 0.935 0.878
0.371 0.629 0.250
0.384 0.616 0.595
0.384 0.616 0.905
0.616 0.384 0.095
0.616 0.384 0.405
0.629 0.371 0.750
0.935 0.065 0.122
0.935 0.065 0.378
0.193 0.807 0.082
0.193 0.807 0.418
0.807 0.193 0.582
0.807 0.193 0.918
0.212 0.788 0.750
0.788 0.212 0.250
```

## Properties
Size of the total moment, μB/cell: 0.00
Calculated density, Mg/m³: 7.0
Fermi-level density of states, states/eV/cell: 13.01
Calculated total energy, eV/atom: -4.7111

# 7
Below is a relaxed Ac2InRh crystal, with properties calculated at the GGA-PBE level.

Structure (POSCAR):
```
Ac2InRh
1.0
2.126 1.227 8.666
-2.126 1.227 8.666
0.000 -2.455 8.666
Ac In Rh
2 1 1
direct
0.232 0.232 0.232
0.768 0.768 0.768
0.000 0.000 0.000
0.500 0.500 0.500
```

## Properties
Size of the total moment, μB/cell: 0.00
Calculated density, Mg/m³: 8.2
Fermi-level density of states, states/eV/cell: 1.95
DFT formation energy, eV/f.u.: -2.05
Calculated total energy, eV/atom: -5.0883

# 8
Below is a relaxed MgIn2Ru crystal, with properties calculated at the GGA-PBE level.

Structure (POSCAR):
```
MgIn2Ru
1.0
3.253 0.000 0.000
0.000 4.652 0.000
0.000 0.000 4.982
Mg In Ru
1 2 1
direct
0.000 0.000 0.000
0.500 0.000 0.528
0.500 0.500 0.149
0.000 0.500 0.676
```

## Properties
Size of the total moment, μB/cell: 0.00
Calculated density, Mg/m³: 7.8
Fermi-level density of states, states/eV/cell: 2.28
DFT formation energy, eV/f.u.: 0.21
Calculated total energy, eV/atom: -4.0347

# 9
Below is a relaxed CoNi2Ag crystal, with properties calculated at the GGA-PBE level.

Structure (POSCAR):
```
CoNi2Ag
1.0
1.312 0.757 8.544
-1.312 0.757 8.544
0.000 -1.515 8.544
Co Ni Ag
1 2 1
direct
0.000 0.000 0.000
0.257 0.257 0.257
0.743 0.743 0.743
0.500 0.500 0.500
```

## Properties
Size of the total moment, μB/cell: 2.74
Calculated density, Mg/m³: 9.3
Fermi-level density of states, states/eV/cell: 4.93
DFT formation energy, eV/f.u.: 0.80
Calculated total energy, eV/atom: -5.1787
Distance to the lowest polymorph of the same formula, meV per atom: 40

# 10
Below is a relaxed Ca2GdTl crystal, with properties calculated at the GGA-PBE level.

Structure (POSCAR):
```
Ca2GdTl
1.0
3.780 0.000 0.000
0.000 3.780 0.000
0.000 0.000 9.374
Ca Gd Tl
2 1 1
direct
0.000 0.000 0.214
0.000 0.000 0.786
0.500 0.500 0.500
0.500 0.500 0.000
```

## Properties
Size of the total moment, μB/cell: 8.49
Calculated density, Mg/m³: 5.5
Fermi-level density of states, states/eV/cell: 6.64
DFT formation energy, eV/f.u.: -0.57
Calculated total energy, eV/atom: -5.2555
Distance to the lowest polymorph of the same formula, meV per atom: 33

# 11
Below is a relaxed K3Tb3HfTe8 crystal, with properties calculated at the GGA-PBE level.

Structure (POSCAR):
```
K3Tb3HfTe8
1.0
4.397 2.539 8.447
-4.397 2.539 8.447
0.000 -5.078 8.447
K Tb Hf Te
3 3 1 8
direct
0.000 0.500 0.500
0.500 0.000 0.500
0.500 0.500 0.000
0.000 0.000 0.500
0.000 0.500 0.000
0.500 0.000 0.000
0.500 0.500 0.500
0.237 0.237 0.237
0.250 0.725 0.725
0.275 0.275 0.750
0.275 0.750 0.275
0.725 0.250 0.725
0.725 0.725 0.250
0.750 0.275 0.275
0.763 0.763 0.763
```

## Properties
Formation energy from raw total energies, meV/atom: -1273
Size of the total moment, μB/cell: 0.00
Calculated density, Mg/m³: 5.3
Calculated total energy, eV/atom: -4.7577

# 12
Below is a relaxed Dy2AlS crystal, with properties calculated at the GGA-PBE level.

Structure (POSCAR):
```
Dy2AlS
1.0
1.871 1.080 7.932
-1.871 1.080 7.932
0.000 -2.161 7.932
Dy Al S
2 1 1
direct
0.000 0.000 0.000
0.193 0.193 0.193
0.763 0.763 0.763
0.595 0.595 0.595
```

## Properties
Formation energy from raw total energies, meV/atom: -1053
Size of the total moment, μB/cell: 0.00
Calculated density, Mg/m³: 6.6
Fermi-level density of states, states/eV/cell: 2.99
Calculated total energy, eV/atom: -5.3220
Distance to the lowest polymorph of the same formula, meV per atom: 152